First-principles (PBE) data for crystalline NpScPb2O8 at its relaxed geometry, as listed in Alexandria via LeMat-Bulk.

Summary:
The density of states at the Fermi level comes out at 4.917 states/eV/cell.

a = 5.117 Å, b = 5.109 Å, c = 6.736 Å
α = 90.00°, β = 90.00°, γ = 90.78°
Each line ends with the local moment (μB).
Element x y z (fractional)
1 O 0.822 0.179 0.239  -0.04
2 O 0.822 0.179 0.761  -0.04
3 Pb 0.500 0.500 0.744  0.02
4 Pb 0.500 0.500 0.256  0.02
5 Sc 0.000 0.000 0.500  0.00
6 Np 0.000 0.000 0.000  1.33
7 O 0.297 0.296 0.000  -0.02
8 O 0.178 0.821 0.761  -0.04
9 O 0.178 0.821 0.239  -0.04
10 O 0.295 0.294 0.500  0.02
11 O 0.703 0.704 0.000  -0.02
12 O 0.705 0.706 0.500  0.02


First-principles (PBE) data for crystalline NpPbSe2O at its relaxed geometry, as listed in Alexandria via LeMat-Bulk.

Summary:
The density of states at the Fermi level comes out at 17.380 states/eV/cell.

a = 3.938 Å, b = 3.938 Å, c = 15.837 Å
α = 90.00°, β = 90.00°, γ = 90.00°
Each line ends with the local moment (μB).
Element x y z (fractional)
1 Np 0.500 0.000 0.577  3.50
2 Se 0.000 0.500 0.666  -0.12
3 O 0.500 0.500 0.500  -0.12
4 Se 0.500 0.000 0.924  -0.02
5 Se 0.000 0.500 0.076  -0.02
6 Se 0.500 0.000 0.334  -0.12
7 Pb 0.500 0.000 0.137  -0.01
8 Np 0.000 0.500 0.423  3.50
9 Pb 0.000 0.500 0.863  -0.01
10 O 0.000 0.000 0.500  -0.12


First-principles (PBE) data for crystalline NpPbSeO2 at its relaxed geometry, as listed in Alexandria via LeMat-Bulk.

Summary:
The density of states at the Fermi level comes out at 12.801 states/eV/cell.

a = 4.016 Å, b = 6.724 Å, c = 7.979 Å
α = 107.10°, β = 90.00°, γ = 90.00°
Each line ends with the local moment (μB).
Element x y z (fractional)
1 O 0.750 0.481 0.350  -0.06
2 Np 0.250 0.684 0.929  3.20
3 Se 0.250 0.051 0.807  -0.11
4 O 0.750 0.522 0.895  -0.11
5 O 0.250 0.519 0.650  -0.06
6 Pb 0.750 0.296 0.570  -0.01
7 Se 0.750 0.949 0.193  -0.11
8 Pb 0.250 0.704 0.430  -0.01
9 Np 0.750 0.316 0.071  3.20
10 O 0.250 0.478 0.105  -0.11


First-principles (PBE) data for crystalline SmNpPb2O6 at its relaxed geometry, as listed in Alexandria via LeMat-Bulk.

Summary:
The density of states at the Fermi level comes out at 14.818 states/eV/cell.

a = 6.024 Å, b = 6.199 Å, c = 8.695 Å
α = 90.00°, β = 89.83°, γ = 90.00°
Each line ends with the local moment (μB).
Element x y z (fractional)
1 O 0.181 0.210 0.052  -0.04
2 Sm 0.500 0.000 0.000  0.00
3 Np 0.500 0.000 0.500  2.19
4 Pb 0.996 0.033 0.748  0.01
5 O 0.706 0.316 0.953  -0.04
6 O 0.294 0.684 0.047  -0.04
7 O 0.681 0.290 0.552  -0.04
8 Np 0.000 0.500 0.000  2.19
9 Pb 0.496 0.467 0.248  0.01
10 O 0.319 0.710 0.448  -0.04
11 O 0.102 0.469 0.760  -0.04
12 O 0.898 0.531 0.240  -0.04
13 Pb 0.504 0.533 0.752  0.01
14 O 0.794 0.816 0.547  -0.04
15 Pb 0.004 0.967 0.252  0.01
16 O 0.819 0.790 0.948  -0.04
17 O 0.206 0.184 0.453  -0.04
18 Sm 0.000 0.500 0.500  0.00
19 O 0.398 0.969 0.740  -0.04
20 O 0.602 0.031 0.260  -0.04


First-principles (PBE) data for crystalline SmNpPb2O8 at its relaxed geometry, as listed in Alexandria via LeMat-Bulk.

Summary:
The density of states at the Fermi level comes out at 6.156 states/eV/cell.

a = 5.219 Å, b = 5.219 Å, c = 7.046 Å
α = 90.00°, β = 90.00°, γ = 90.42°
Each line ends with the local moment (μB).
Element x y z (fractional)
1 O 0.290 0.289 0.000  -0.02
2 O 0.822 0.179 0.220  -0.02
3 Pb 0.500 0.500 0.750  0.00
4 O 0.313 0.312 0.500  0.00
5 Np 0.000 0.000 0.000  0.75
6 Sm 0.000 0.000 0.500  0.00
7 Pb 0.500 0.500 0.250  0.00
8 O 0.178 0.821 0.780  -0.02
9 O 0.710 0.711 0.000  -0.02
10 O 0.178 0.821 0.220  -0.02
11 O 0.822 0.179 0.780  -0.02
12 O 0.687 0.688 0.500  0.00


First-principles (PBE) data for crystalline Sr2NpPbO8 at its relaxed geometry, as listed in Alexandria via LeMat-Bulk.

Summary:
The density of states at the Fermi level comes out at 6.180 states/eV/cell.

a = 4.153 Å, b = 5.766 Å, c = 7.895 Å
α = 84.14°, β = 93.19°, γ = 97.89°
Each line ends with the local moment (μB).
Element x y z (fractional)
1 O 0.940 0.195 0.239  0.22
2 Sr 0.479 0.513 0.753  0.00
3 O 0.924 0.238 0.816  0.06
4 O 0.060 0.805 0.761  0.22
5 Sr 0.521 0.487 0.247  0.00
6 O 0.076 0.762 0.184  0.06
7 O 0.413 0.205 0.019  0.09
8 Pb 0.000 0.000 0.500  -0.01
9 O 0.587 0.795 0.981  0.09
10 O 0.406 0.241 0.522  0.10
11 Np 0.000 0.000 0.000  -0.03
12 O 0.594 0.759 0.478  0.10


First-principles (PBE) data for crystalline SrNpPb2O6 at its relaxed geometry, as listed in Alexandria via LeMat-Bulk.

a = 6.192 Å, b = 6.194 Å, c = 6.305 Å
α = 60.54°, β = 60.58°, γ = 59.91°
Each line ends with the local moment (μB).
Element x y z (fractional)
1 Np 0.320 0.319 0.041  1.23
2 Pb 0.538 0.539 0.386  0.00
3 O 0.438 0.648 0.787  -0.04
4 O 0.126 0.437 0.789  -0.04
5 O 0.191 0.993 0.248  -0.04
6 Sr 0.809 0.809 0.572  0.00
7 O 0.568 0.191 0.247  -0.04
8 Pb 0.031 0.030 0.909  0.00
9 O 0.648 0.125 0.789  -0.04
10 O 0.994 0.569 0.247  -0.04


First-principles (PBE) data for crystalline NpTaPbO6 at its relaxed geometry, as listed in Alexandria via LeMat-Bulk.

Summary:
The density of states at the Fermi level comes out at 15.491 states/eV/cell.

a = 5.624 Å, b = 5.624 Å, c = 10.523 Å
α = 90.00°, β = 90.00°, γ = 120.00°
Each line ends with the local moment (μB).
Element x y z (fractional)
1 Ta 0.667 0.333 0.250  0.02
2 O 0.635 0.018 0.354  -0.04
3 O 0.365 0.383 0.854  -0.04
4 Np 0.667 0.333 0.750  2.19
5 O 0.982 0.617 0.354  -0.04
6 Ta 0.333 0.667 0.750  0.02
7 O 0.365 0.982 0.646  -0.04
8 O 0.982 0.365 0.146  -0.04
9 Pb 0.000 0.000 0.000  0.00
10 Np 0.333 0.667 0.250  2.19
11 Pb 0.000 0.000 0.500  0.00
12 O 0.018 0.635 0.854  -0.04
13 O 0.617 0.635 0.646  -0.04
14 O 0.018 0.383 0.646  -0.04
15 O 0.617 0.982 0.854  -0.04
16 O 0.635 0.617 0.146  -0.04
17 O 0.383 0.365 0.354  -0.04
18 O 0.383 0.018 0.146  -0.04


First-principles (PBE) data for crystalline TbNpPb2O8 at its relaxed geometry, as listed in Alexandria via LeMat-Bulk.

Summary:
The density of states at the Fermi level comes out at 6.435 states/eV/cell.

a = 5.193 Å, b = 5.193 Å, c = 6.960 Å
α = 90.00°, β = 90.00°, γ = 90.50°
Each line ends with the local moment (μB).
Element x y z (fractional)
1 Pb 0.500 0.500 0.251  0.01
2 O 0.309 0.309 0.500  0.01
3 O 0.179 0.821 0.776  -0.03
4 O 0.821 0.179 0.224  -0.03
5 O 0.179 0.821 0.224  -0.03
6 O 0.707 0.708 0.000  -0.02
7 O 0.821 0.179 0.776  -0.03
8 Pb 0.500 0.500 0.749  0.01
9 Np 0.000 0.000 0.000  1.00
10 O 0.691 0.691 0.500  0.01
11 O 0.293 0.292 0.000  -0.02
12 Tb 0.000 0.000 0.500  0.00


Number 1: E_form (uncorrected) -196.2 kJ/mol of atoms, uncorrected energy -90.76 eV per cell. Number 2: E_form (uncorrected) -136.1 kJ/mol of atoms, uncorrected energy -71.26 eV per cell. Number 3: E_form (uncorrected) -173.4 kJ/mol of atoms, uncorrected energy -78.07 eV per cell. Number 4: E_form (uncorrected) -223.9 kJ/mol of atoms, uncorrected energy -156.06 eV per cell. Number 5: E_form (uncorrected) -197.2 kJ/mol of atoms, uncorrected energy -89.26 eV per cell. Number 6: E_form (uncorrected) -198.8 kJ/mol of atoms, uncorrected energy -84.40 eV per cell. Number 7: E_form (uncorrected) -211.9 kJ/mol of atoms, uncorrected energy -73.75 eV per cell. Number 8: E_form (uncorrected) -240.8 kJ/mol of atoms, uncorrected energy -161.43 eV per cell. Number 9: E_form (uncorrected) -199.2 kJ/mol of atoms, uncorrected energy -89.43 eV per cell.